Entry from Alexandria: a geometry-optimized Ag2Bi2S3Cl2 structure (PBEsol).

Summary:
Uncorrected formation energy ... -0.456 eV per atom
DOS at the Fermi energy ... 0.00 states/eV/f.u.
E ... -145.85 eV/cell

abc: 7.136 10.846 11.198
angles: 73.74 89.69 88.08
Space group P-1 (No. 2)
Inequivalent atoms, fractional coordinates:
Ag (0.009, 0.293, 0.295) [2 per cell]
Ag (0.237, 0.495, 0.143) [2 per cell]
Ag (0.246, 0.512, 0.649) [2 per cell]
Ag (0.479, 0.679, 0.213) [2 per cell]
Bi (0.079, 0.803, 0.341) [2 per cell]
Bi (0.119, 0.202, 0.982) [2 per cell]
Bi (0.386, 0.801, 0.843) [2 per cell]
Bi (0.416, 0.197, 0.487) [2 per cell]
S (0.006, 0.371, 0.773) [2 per cell]
S (0.095, 0.650, 0.919) [2 per cell]
S (0.112, 0.345, 0.479) [2 per cell]
S (0.378, 0.651, 0.424) [2 per cell]
S (0.405, 0.352, 0.980) [2 per cell]
S (0.498, 0.632, 0.724) [2 per cell]
Cl (0.218, 0.909, 0.571) [2 per cell]
Cl (0.242, 0.898, 0.065) [2 per cell]
Cl (0.258, 0.094, 0.263) [2 per cell]
Cl (0.294, 0.107, 0.764) [2 per cell]

***

Entry from Alexandria: a geometry-optimized Be2AuCl structure (PBEsol).

Summary:
Polymorph energy (0 for the lowest one) ... 0.00 eV per formula unit
Uncorrected formation energy ... 0.616 eV per atom
DOS at the Fermi energy ... 2.07 states/eV/f.u.
E ... -45.87 eV/cell

abc: 6.066 6.066 6.066
angles: 90.00 90.00 90.00
Space group Fm-3m (No. 225)
Inequivalent atoms, fractional coordinates:
Be (0.250, 0.250, 0.250) [8 per cell]
Au (0.000, 0.000, 0.000) [4 per cell]
Cl (0.000, 0.000, 0.500) [4 per cell]

***

Entry from Alexandria: a geometry-optimized LaNi2Ru structure (PBEsol).

Summary:
DOS at the Fermi energy ... 5.97 states/eV/f.u.
Formation energy ... 0.20 eV/atom
E ... -54.07 eV/cell

abc: 3.992 3.992 7.633
angles: 90.00 90.00 90.00
Space group I-4m2 (No. 119)
Inequivalent atoms, fractional coordinates:
La (0.000, 0.000, 0.000) [2 per cell]
Ni (0.000, 0.000, 0.500) [2 per cell]
Ni (0.000, 0.500, 0.750) [2 per cell]
Ru (0.000, 0.500, 0.250) [2 per cell]

***

Entry from Alexandria: a geometry-optimized YBePb structure (PBEsol).

Summary:
DOS at the Fermi energy ... 2.11 states/eV/f.u.
Formation energy ... 0.07 eV/atom
E ... -29.22 eV/cell

abc: 3.383 3.383 11.282
angles: 90.00 90.00 90.00
Space group I4mm (No. 107)
Inequivalent atoms, fractional coordinates:
Y (0.000, 0.000, 0.000) [2 per cell]
Be (0.000, 0.000, 0.656) [2 per cell]
Pb (0.000, 0.000, 0.287) [2 per cell]

***

Entry from Alexandria: a geometry-optimized Ta3Au structure (PBEsol).

Summary:
Polymorph energy (0 for the lowest one) ... 0.56 eV per formula unit
DOS at the Fermi energy ... 4.09 states/eV/f.u.
Formation energy ... 0.07 eV/atom
E ... -82.63 eV/cell

abc: 5.803 8.421 2.852
angles: 90.00 90.00 90.00
Space group Cmmm (No. 65)
Inequivalent atoms, fractional coordinates:
Ta (0.000, 0.000, 0.000) [2 per cell]
Ta (0.250, 0.250, 0.500) [4 per cell]
Au (0.000, 0.500, 0.000) [2 per cell]

***

Entry from Alexandria: a geometry-optimized KCd2Ag structure (PBEsol).

Summary:
Polymorph energy (0 for the lowest one) ... 0.07 eV per formula unit
DOS at the Fermi energy ... 1.51 states/eV/f.u.
Formation energy ... 0.05 eV/atom
E ... -6.64 eV/cell

abc: 3.060 4.216 7.743
angles: 90.00 90.00 90.00
Space group Pmm2 (No. 25)
Inequivalent atoms, fractional coordinates:
K (0.000, 0.000, 0.000) [1 per cell]
Cd (0.000, 0.000, 0.463) [1 per cell]
Cd (0.500, 0.500, 0.682) [1 per cell]
Ag (0.500, 0.500, 0.308) [1 per cell]

***

Entry from Alexandria: a geometry-optimized LiMnP3O9 structure (PBEsol).

Summary:
Polymorph energy (0 for the lowest one) ... 0.46 eV per formula unit
Uncorrected formation energy ... -2.069 eV per atom
DOS at the Fermi energy ... 0.00 states/eV/f.u.
E ... -210.63 eV/cell

abc: 6.3650 6.3650 9.7111
angles: 90.00 90.00 120.00
Space group P-6c2 (No. 188)
Inequivalent atoms, fractional coordinates:
Li (0.0000, 0.0000, 0.0000) [2 per cell]
Mn (0.3333, 0.6667, 0.0000) [2 per cell]
P (0.4066, 0.0572, 0.2500) [6 per cell]
O (0.0646, 0.3547, 0.1165) [12 per cell]
O (0.4339, 0.1146, 0.7500) [6 per cell]

***

Entry from Alexandria: a geometry-optimized NaCo3W structure (PBEsol).

Summary:
DOS at the Fermi energy ... 6.60 states/eV/f.u.
Formation energy ... 1.40 eV/atom
E ... -31.42 eV/cell

abc: 4.450 4.450 4.450
angles: 90.00 90.00 90.00
Space group Pm-3m (No. 221)
Inequivalent atoms, fractional coordinates:
Na (0.000, 0.000, 0.000) [1 per cell]
Co (0.000, 0.500, 0.500) [3 per cell]
W (0.500, 0.500, 0.500) [1 per cell]

***

Entry from Alexandria: a geometry-optimized YHNF2 structure (PBEsol).

Summary:
DOS at the Fermi energy ... 1.40 states/eV/f.u.
E ... -29.45 eV/cell

abc: 3.464 3.464 3.742
angles: 90.00 90.00 90.00
Space group P4/mmm (No. 123)
Inequivalent atoms, fractional coordinates:
Y (0.000, 0.000, 0.000) [1 per cell]
H (0.500, 0.500, 0.500) [1 per cell]
N (0.500, 0.500, 0.000) [1 per cell]
F (0.000, 0.500, 0.500) [2 per cell]

***

Entry from Alexandria: a geometry-optimized MnAlNi2 structure (PBEsol).

Summary:
DOS at the Fermi energy ... 1.96 states/eV/f.u.
Formation energy ... -0.35 eV/atom
E ... -55.17 eV/cell

abc: 3.783 3.783 6.476
angles: 90.00 90.00 90.00
Space group I4/mmm (No. 139)
Inequivalent atoms, fractional coordinates:
Mn (0.000, 0.000, 0.000) [2 per cell]
Al (0.000, 0.000, 0.500) [2 per cell]
Ni (0.000, 0.500, 0.250) [4 per cell]

***

Entry from Alexandria: a geometry-optimized La3Ru structure (PBEsol).

Summary:
DOS at the Fermi energy ... 4.36 states/eV/f.u.
Formation energy ... -0.08 eV/atom
E ... -53.03 eV/cell

abc: 3.784 10.431 5.785
angles: 90.00 90.00 90.00
Space group Imm2 (No. 44)
Inequivalent atoms, fractional coordinates:
La (0.000, 0.000, 0.000) [2 per cell]
La (0.000, 0.191, 0.506) [4 per cell]
Ru (0.000, 0.500, 0.061) [2 per cell]

***

Entry from Alexandria: a geometry-optimized TaHBr3 structure (PBEsol).

Summary:
DOS at the Fermi energy ... 2.56 states/eV/f.u.
E ... -17.30 eV/cell

abc: 4.459 4.459 4.459
angles: 90.00 90.00 90.00
Space group Pm-3m (No. 221)
Inequivalent atoms, fractional coordinates:
Ta (0.000, 0.000, 0.000) [1 per cell]
H (0.500, 0.500, 0.500) [1 per cell]
Br (0.000, 0.500, 0.500) [3 per cell]